This record from Alexandria via LeMat-Bulk describes crystalline V3Zn2O8 at its relaxed geometry. The functional is PBE+U.

```
data_V3Zn2O8
_cell_length_a 5.9251
_cell_length_b 5.9251
_cell_length_c 9.5389
_cell_angle_alpha 90.00
_cell_angle_beta 90.00
_cell_angle_gamma 120.00
_symmetry_space_group_name_H-M 'P 1'
_symmetry_Int_Tables_number 1
_symmetry_space_group_name_Hall 'P 1'
loop_
_atom_site_label
_atom_site_type_symbol
_atom_site_fract_x
_atom_site_fract_y
_atom_site_fract_z
_atom_site_occupancy
Zn1 Zn 0.6667 0.3333 0.4234 1
O1 O 0.6760 0.8230 0.6450 1
V1 V 0.1632 0.3250 0.2437 1
O2 O 0.3240 0.1471 0.1450 1
O3 O 0.0000 0.0000 0.3524 1
O4 O 0.5062 0.4707 0.8634 1
V2 V 0.8383 0.6750 0.7437 1
O5 O 0.1770 0.8529 0.6450 1
O6 O 0.3333 0.6667 0.1331 1
O7 O 0.4707 0.5062 0.3634 1
O8 O 0.9645 0.4938 0.8634 1
V3 V 0.8367 0.1617 0.7437 1
Zn2 Zn 0.6667 0.3333 0.0284 1
O9 O 0.6667 0.3333 0.6332 1
Zn3 Zn 0.3333 0.6667 0.9233 1
O10 O 0.8530 0.1770 0.1450 1
V4 V 0.6750 0.8383 0.2437 1
O11 O 0.1471 0.3240 0.6449 1
O12 O 0.4938 0.9645 0.3634 1
V5 V 0.1617 0.8368 0.2437 1
O13 O 0.5293 0.0355 0.8634 1
V6 V 0.3250 0.1633 0.7437 1
O14 O 0.0355 0.5293 0.3634 1
O15 O 0.0000 0.0000 0.8524 1
Zn4 Zn 0.3333 0.6667 0.5283 1
O16 O 0.8230 0.6760 0.1450 1
```

The value obtained for the relative energy among the computed polymorphs is 0.001 eV/atom. The total energy comes out at -6.773 eV/atom. For the calculated density, the calculation gives 4.71 g cm⁻³.